Computed, not measured: a relaxed Zr2AgGe crystal at the GGA-PBE level of DFT.

Results
ΔH_f (0 K) = -0.05 eV/atom

a b c (Å): 7.6160 7.6160 5.7821
angles (deg): 90.00 90.00 90.00
Last column: nearest neighbours and their distance in Å.
Space group I-42d (No. 122)
One atom of each set of equivalent atoms:
Zr 0.2402 0.2500 0.1250 x8  2 Ge 2.74, 2 Ag 2.84, 2 Zr 2.89
Ag 0.0000 0.0000 0.5000 x4  4 Zr 2.84, 2 Ge 2.89
Ge 0.0000 0.0000 0.0000 x4  4 Zr 2.74, 2 Ag 2.89

Computed, not measured: a relaxed ZrAgGe3 crystal at the GGA-PBE level of DFT.

Results
E above lowest polymorph = 172.9 meV per atom
ΔH_f (0 K) = 0.77 eV/atom

a b c (Å): 4.9052 4.9052 4.9052
angles (deg): 90.00 90.00 90.00
Last column: nearest neighbours and their distance in Å.
Space group Pm-3m (No. 221)
One atom of each set of equivalent atoms:
Zr 0.0000 0.0000 0.0000 x1  12 Ge 3.47
Ag 0.5000 0.5000 0.5000 x1  6 Ge 2.45
Ge 0.0000 0.5000 0.5000 x3  2 Ag 2.45

Computed, not measured: a relaxed Ag3H crystal at the GGA-PBE level of DFT.

Results
E above lowest polymorph = 32.7 meV per atom

a b c (Å): 3.9840 3.9840 4.2083
angles (deg): 90.00 90.00 90.00
Last column: nearest neighbours and their distance in Å.
Space group P4/mmm (No. 123)
One atom of each set of equivalent atoms:
Ag 0.0000 0.0000 0.0000 x1  8 Ag 2.90
Ag 0.0000 0.5000 0.5000 x2  2 H 1.99
H 0.5000 0.5000 0.5000 x1  4 Ag 1.99

Q: Which total DFT energy (no corrections) values were calculated for the entries above? A: -6.187, -4.283, -2.725, in eV per atom.
Q: Which magnetization values were calculated for the entries above? A: 0.0, 0.0, 0.0, in μB per formula unit.